{
  "formula": "LaAgPt",
  "functional": "PBE",
  "state": "optimized geometry",
  "magmom_total_mub_per_fu": 0.0,
  "e_above_lowest_polymorph_mev_per_atom": 0,
  "e_form_mev_per_atom": -773,
  "spacegroup": "Cmcm",
  "lattice": [[1.9441, -8.9012, 0.0000], [1.9441, 8.9012, 0.0000], [0.0000, 0.0000, 4.1189]],
  "species": ["La", "La", "Ag", "Ag", "Pt", "Pt"],
  "fractional_positions": [[0.1050, 0.8950, 0.7500], [0.8950, 0.1050, 0.2500], [0.2850, 0.7150, 0.7500], [0.7150, 0.2850, 0.2500], [0.4459, 0.5541, 0.7500], [0.5541, 0.4459, 0.2500]]
}